Arrangement one

Density functional theory data (PBE) for a relaxed structure of NpAu12.

Cell lengths 8.074, 8.074, 8.074 Å; angles 60.00, 60.00, 60.00 degrees
Sites, in units of the cell vectors:
Au 0.500 0.839 0.500
Au 0.500 0.161 0.839
Au 0.500 0.839 0.161
Au 0.839 0.161 0.500
Au 0.500 0.500 0.839
Au 0.161 0.500 0.839
Au 0.500 0.161 0.500
Au 0.161 0.500 0.500
Au 0.161 0.839 0.500
Au 0.500 0.500 0.161
Au 0.839 0.500 0.161
Au 0.839 0.500 0.500
Np 0.000 0.000 0.000

Values from the calculation:
- symmetry = Fm-3m, No. 225
- spin magnetization (μB per cell) = 4.78
- D(E_F) (states/eV/cell) = 18.24

Arrangement two

Density functional theory data (PBE) for a relaxed structure of NpAu12.

Cell lengths 5.653, 7.301, 7.301 Å; angles 81.38, 67.22, 67.22 degrees
Sites, in units of the cell vectors:
Au 0.000 0.654 0.346
Au 0.713 0.787 0.787
Au 0.287 0.213 0.213
Au 0.000 0.000 0.500
Au 0.346 0.654 0.654
Au 0.654 0.346 0.346
Au 0.500 0.000 0.500
Au 0.500 0.500 0.000
Au 0.000 0.500 0.000
Au 0.000 0.346 0.654
Au 0.500 0.787 0.213
Au 0.500 0.213 0.787
Np 0.000 0.000 0.000

Values from the calculation:
- symmetry = I4/mmm, No. 139
- spin magnetization (μB per cell) = 4.34
- D(E_F) (states/eV/cell) = 13.74

Which structure is most stable? arrangement two, by 610 meV/atom over the runner-up.